Entry 1:
Here is crystalline Hf2MgHgBr at its relaxed geometry from the Alexandria database. Energies are from PBE.

Properties
crystal system = tetragonal
raw total energy = -3.569 eV per atom

Lattice parameters (Å, degrees): 5.272 5.272 5.033 90.00 90.00 90.00
Space group P4/mmm (No. 123)
Symmetry-distinct sites (fractional):
1 Hf 0.000 0.500 0.000 [2 per cell]
2 Mg 0.000 0.000 0.000 [1 per cell]
3 Hg 0.500 0.500 0.500 [1 per cell]
4 Br 0.000 0.000 0.500 [1 per cell]


Entry 2:
Here is crystalline Y5Sb2O at its relaxed geometry from the Alexandria database. Energies are from PBE.

Properties
crystal system = tetragonal
raw total energy = -6.751 eV per atom

Lattice parameters (Å, degrees): 6.837 6.837 9.130 90.00 90.00 90.00
Space group I4mm (No. 107)
Symmetry-distinct sites (fractional):
1 Y 0.000 0.000 0.000 [2 per cell]
2 Y 0.243 0.243 0.256 [8 per cell]
3 Sb 0.000 0.500 0.005 [4 per cell]
4 O 0.000 0.000 0.266 [2 per cell]


Entry 3:
Here is crystalline Na2RhC2O6 at its relaxed geometry from the Alexandria database. Energies are from PBE.

Properties
crystal system = monoclinic
raw total energy = -6.592 eV per atom

Lattice parameters (Å, degrees): 10.561 4.997 5.905 90.00 118.54 90.00
Space group C2/m (No. 12)
Symmetry-distinct sites (fractional):
1 Na 0.203 0.000 0.203 [4 per cell]
2 Rh 0.000 0.000 0.500 [2 per cell]
3 C 0.001 0.500 0.746 [4 per cell]
4 O 0.078 0.278 0.790 [8 per cell]
5 O 0.133 0.500 0.332 [4 per cell]